(1)
The following is a DFT calculation (GGA-PBE) of crystalline BaCaPmSm at its relaxed geometry.

Calculated values
**Energy of formation from the pure elements**: 208 meV per atom
**Crystal system**: cubic
**Uncorrected energy**: -3.140 eV per atom
**M_tot**: 0.000 μB/f.u.

a = 8.6658 Å, b = 8.6658 Å, c = 8.6658 Å
α = 90.00°, β = 90.00°, γ = 90.00°
Closest atoms and distances in Å follow each position.
Space group F-43m (No. 216)
One atom of each set of equivalent atoms:
Ba  0.0000  0.0000  0.0000 x4  4 Ca 3.75, 4 Pm 3.75
Ca  0.2500  0.2500  0.7500 x4  4 Ba 3.75, 4 Sm 3.75
Pm  0.2500  0.2500  0.2500 x4  4 Ba 3.75, 4 Sm 3.75
Sm  0.0000  0.0000  0.5000 x4  4 Pm 3.75, 4 Ca 3.75

---

(2)
The following is a DFT calculation (GGA-PBE) of crystalline TaAlFe2 at its relaxed geometry.

Calculated values
**Energy of formation from the pure elements**: -97 meV per atom
**Crystal system**: monoclinic
**Uncorrected energy**: -8.227 eV per atom
**M_tot**: 3.408 μB/f.u.

a = 2.6864 Å, b = 4.2139 Å, c = 5.0247 Å
α = 90.00°, β = 103.09°, γ = 90.00°
Closest atoms and distances in Å follow each position.
Space group Pm (No. 6)
One atom of each set of equivalent atoms:
Ta  0.0000  0.0000  0.0000 x1  4 Fe 2.57-2.66, 2 Ta 2.69, 2 Al 2.83
Al  0.6830  0.5000  0.2995 x1  5 Fe 2.50-2.72, 2 Al 2.69
Fe  0.3080  0.5000  0.7585 x1  4 Fe 2.52-2.69, 3 Al 2.53-2.72, 2 Ta 2.66
Fe  0.4465  0.0000  0.5097 x1  2 Al 2.50, 4 Fe 2.52-2.69, 2 Ta 2.57

---

(3)
The following is a DFT calculation (GGA-PBE) of crystalline Tb3HgRh at its relaxed geometry.

Calculated values
**Energy of formation from the pure elements**: -568 meV per atom
**Crystal system**: orthorhombic
**Uncorrected energy**: -4.877 eV per atom
**M_tot**: 0.000 μB/f.u.

a = 7.2414 Å, b = 4.8413 Å, c = 14.8345 Å
α = 90.00°, β = 90.00°, γ = 90.00°
Closest atoms and distances in Å follow each position.
Space group Pnma (No. 62)
One atom of each set of equivalent atoms:
Tb  0.0116  0.2500  0.1026 x4  3 Rh 2.78-3.00
Tb  0.1344  0.7500  0.4549 x4  3 Rh 2.94-2.96, 2 Hg 3.18
Tb  0.1867  0.2500  0.7229 x4  1 Rh 2.72
Hg  0.0934  0.2500  0.3179 x4  8 Tb 3.18-3.25
Rh  0.2250  0.7500  0.0446 x4  7 Tb 2.72-3.00

---

(4)
The following is a DFT calculation (GGA-PBE) of crystalline SrOs4Cl at its relaxed geometry.

Calculated values
**Raw formation energy**: 1036 meV/atom
**Crystal system**: cubic
**Uncorrected energy**: -7.039 eV per atom
**M_tot**: 2.352 μB/f.u.

a = 7.6355 Å, b = 7.6355 Å, c = 7.6355 Å
α = 90.00°, β = 90.00°, γ = 90.00°
Closest atoms and distances in Å follow each position.
Space group F-43m (No. 216)
One atom of each set of equivalent atoms:
Sr  0.0000  0.0000  0.0000 x4  12 Os 3.17, 4 Cl 3.31
Os  0.1246  0.1246  0.3754 x16  6 Os 2.69-2.71
Cl  0.2500  0.2500  0.7500 x4  12 Os 3.16, 4 Sr 3.31